# 1
Computed, not measured: a relaxed structure of SrPt3 at the PBE-GGA level of DFT.

Computed properties:
As for the space group: No. 139. The value obtained for the formation enthalpy at 0 K is -290 meV/atom.

abc: 8.9624 8.9624 8.9624
angles: 152.70 152.70 38.99
Element x y z (fractional)
Sr: 0.1237 0.1237 0.0000
Sr: 0.8763 0.8763 0.0000
Pt: 0.0000 0.5000 0.5000
Pt: 0.2500 0.7500 0.5000
Pt: 0.3762 0.3762 0.0000
Pt: 0.5000 0.0000 0.5000
Pt: 0.6238 0.6238 0.0000
Pt: 0.7500 0.2500 0.5000

---

# 2
Computed, not measured: a relaxed structure of Sr3Pt at the PBE-GGA level of DFT.

Computed properties:
As for the space group: No. 62. The value obtained for the formation enthalpy at 0 K is -532 meV/atom.

abc: 8.0854 10.4770 7.1235
angles: 90.00 90.00 90.00
Element x y z (fractional)
Sr: 0.0473 0.2500 0.1571
Sr: 0.1692 0.0712 0.6705
Sr: 0.1692 0.4288 0.6705
Sr: 0.3308 0.5712 0.1705
Sr: 0.3308 0.9288 0.1705
Sr: 0.4527 0.7500 0.6571
Sr: 0.5473 0.2500 0.3429
Sr: 0.6692 0.0712 0.8295
Sr: 0.6692 0.4288 0.8295
Sr: 0.8308 0.5712 0.3295
Sr: 0.8308 0.9288 0.3295
Sr: 0.9527 0.7500 0.8429
Pt: 0.1217 0.7500 0.4516
Pt: 0.3783 0.2500 0.9516
Pt: 0.6217 0.7500 0.0484
Pt: 0.8783 0.2500 0.5484

---

# 3
Computed, not measured: a relaxed structure of SrPt3 at the PBE-GGA level of DFT.

Computed properties:
As for the space group: No. 69. The value obtained for the formation enthalpy at 0 K is -310 meV/atom.

abc: 10.2720 9.5814 5.1955
angles: 82.33 67.58 30.08
Element x y z (fractional)
Sr: 0.1043 0.1043 0.8957
Sr: 0.8957 0.8957 0.1043
Pt: 0.0000 0.0000 0.5000
Pt: 0.2500 0.2500 0.2500
Pt: 0.2670 0.2670 0.7330
Pt: 0.5000 0.5000 0.0000
Pt: 0.7330 0.7330 0.2670
Pt: 0.7500 0.7500 0.7500

---

# 4
Computed, not measured: a relaxed structure of Sr3Pt at the PBE-GGA level of DFT.

Computed properties:
As for the space group: No. 223. The value obtained for the formation enthalpy at 0 K is -36 meV/atom.

abc: 6.5012 6.5012 6.5012
angles: 90.00 90.00 90.00
Element x y z (fractional)
Sr: 0.0000 0.2500 0.5000
Sr: 0.0000 0.7500 0.5000
Sr: 0.2500 0.5000 0.0000
Sr: 0.5000 0.0000 0.2500
Sr: 0.5000 0.0000 0.7500
Sr: 0.7500 0.5000 0.0000
Pt: 0.0000 0.0000 0.0000
Pt: 0.5000 0.5000 0.5000

---

# 5
Computed, not measured: a relaxed structure of Sr3Pt5 at the PBE-GGA level of DFT.

Computed properties:
As for the space group: No. 65. The value obtained for the formation enthalpy at 0 K is -446 meV/atom. As for the energy above the most stable polymorph in this dataset: 171 meV/atom.

abc: 6.1008 6.1008 4.5594
angles: 90.00 90.00 92.18
Element x y z (fractional)
Sr: 0.0000 0.0000 0.0000
Sr: 0.2734 0.7266 0.5000
Sr: 0.7266 0.2734 0.5000
Pt: 0.0000 0.5000 0.0000
Pt: 0.2474 0.2474 0.5000
Pt: 0.5000 0.0000 0.0000
Pt: 0.5000 0.5000 0.0000
Pt: 0.7526 0.7526 0.5000

---

# 6
Computed, not measured: a relaxed structure of SrPt3 at the PBE-GGA level of DFT.

Computed properties:
As for the space group: No. 59. The value obtained for the formation enthalpy at 0 K is -597 meV/atom.

abc: 4.5993 7.9872 5.3487
angles: 90.00 90.00 90.00
Element x y z (fractional)
Sr: 0.2500 0.2500 0.0526
Sr: 0.7500 0.7500 0.9474
Pt: 0.2500 0.0773 0.5472
Pt: 0.2500 0.4227 0.5472
Pt: 0.2500 0.7500 0.4536
Pt: 0.7500 0.2500 0.5464
Pt: 0.7500 0.5773 0.4528
Pt: 0.7500 0.9227 0.4528

---

# 7
Computed, not measured: a relaxed structure of Sr3Pt at the PBE-GGA level of DFT.

Computed properties:
As for the space group: No. 166. The value obtained for the formation enthalpy at 0 K is 73 meV/atom.

abc: 6.4955 6.4955 6.4955
angles: 115.93 115.93 115.93
Element x y z (fractional)
Sr: 0.0000 0.5000 0.5000
Sr: 0.5000 0.0000 0.5000
Sr: 0.5000 0.5000 0.0000
Pt: 0.0000 0.0000 0.0000

---

# 8
Computed, not measured: a relaxed structure of SrPt3 at the PBE-GGA level of DFT.

Computed properties:
As for the space group: No. 47. The value obtained for the formation enthalpy at 0 K is -230 meV/atom.

abc: 2.9116 4.0492 6.5912
angles: 90.00 90.00 90.00
Element x y z (fractional)
Sr: 0.0000 0.0000 0.0000
Pt: 0.0000 0.0000 0.5000
Pt: 0.5000 0.5000 0.2962
Pt: 0.5000 0.5000 0.7038